Compound: Hf3MgSc
Source: Alexandria via LeMat-Bulk
Functional: PBE-GGA
Structure: optimized geometry

abc: 5.055 5.055 5.055
angles: 90.00 90.00 90.00
Atoms (fractional coordinates):
Hf (0.000, 0.000, 0.500)
Hf (0.000, 0.500, 0.000)
Hf (0.500, 0.000, 0.000)
Mg (0.000, 0.000, 0.000)
Sc (0.500, 0.500, 0.500)

Properties
D(E_F)	5.7	states/eV/f.u.
raw total energy	-32.1	eV/cell
energy relative to the elements	1134.8	meV/atom
polymorph energy (0 for the lowest one)	5.16	eV/f.u.

---

Compound: HfMgSc3
Source: Alexandria via LeMat-Bulk
Functional: PBE-GGA
Structure: optimized geometry

abc: 5.672 5.096 8.592
angles: 90.00 109.05 90.00
Atoms (fractional coordinates):
Hf (0.019, 0.250, 0.402)
Hf (0.981, 0.750, 0.598)
Mg (0.424, 0.250, 0.200)
Mg (0.576, 0.750, 0.800)
Sc (0.166, 0.750, 0.995)
Sc (0.236, 0.250, 0.786)
Sc (0.350, 0.750, 0.397)
Sc (0.650, 0.250, 0.603)
Sc (0.764, 0.750, 0.214)
Sc (0.834, 0.250, 0.005)

Properties
D(E_F)	8.1	states/eV/f.u.
raw total energy	-60.7	eV/cell
energy relative to the elements	36.9	meV/atom
polymorph energy (0 for the lowest one)	0.00	eV/f.u.

---

Compound: HfMgSc2
Source: Alexandria via LeMat-Bulk
Functional: PBE-GGA
Structure: optimized geometry

abc: 3.236 3.236 8.918
angles: 90.00 90.00 90.00
Atoms (fractional coordinates):
Hf (0.000, 0.000, 0.000)
Mg (0.000, 0.000, 0.500)
Sc (0.500, 0.500, 0.242)
Sc (0.500, 0.500, 0.758)

Properties
D(E_F)	3.9	states/eV/f.u.
raw total energy	-24.4	eV/cell
energy relative to the elements	-38.1	meV/atom

---

Compound: HfMgScTc2
Source: Alexandria via LeMat-Bulk
Functional: PBE-GGA
Structure: optimized geometry

abc: 4.666 4.666 4.538
angles: 90.00 90.00 90.00
Atoms (fractional coordinates):
Hf (0.000, 0.000, 0.000)
Mg (0.500, 0.500, 0.500)
Sc (0.500, 0.500, 0.000)
Tc (0.000, 0.500, 0.500)
Tc (0.500, 0.000, 0.500)

Properties
D(E_F)	6.0	states/eV/f.u.
raw total energy	-32.4	eV/cell
energy relative to the elements	1244.6	meV/atom

---

Compound: HfMgScTi
Source: Alexandria via LeMat-Bulk
Functional: PBE-GGA
Structure: optimized geometry

abc: 10.312 10.312 10.312
angles: 163.22 163.22 23.82
Atoms (fractional coordinates):
Hf (0.000, 0.000, 0.000)
Mg (0.249, 0.249, 0.000)
Sc (0.625, 0.625, 0.000)
Ti (0.400, 0.400, 0.000)

Properties
D(E_F)	5.0	states/eV/f.u.
raw total energy	-25.0	eV/cell
energy relative to the elements	195.4	meV/atom

---

Compound: TmHfMgSc
Source: Alexandria via LeMat-Bulk
Functional: PBE-GGA
Structure: optimized geometry

abc: 3.303 3.303 9.084
angles: 90.00 90.00 90.00
Atoms (fractional coordinates):
Tm (0.000, 0.000, 0.000)
Hf (0.500, 0.500, 0.251)
Mg (0.500, 0.500, 0.732)
Sc (0.000, 0.000, 0.484)

Properties
D(E_F)	4.1	states/eV/f.u.
raw total energy	-22.4	eV/cell
energy relative to the elements	-12.5	meV/atom